No. 1
Compound: NaPu2ThSe4
Source: Alexandria
Functional: PBE
Structure: relaxed

Cell and atoms, written as POSCAR:
```
NaPu2ThSe4
1.0
7.218 0.000 0.000
0.000 4.160 0.000
-2.418 0.000 6.908
Na Pu Th Se
1 2 1 4
direct
0.000 0.000 0.000
0.500 0.000 0.500
0.500 0.500 0.000
0.000 0.500 0.500
0.252 0.500 0.254
0.254 0.000 0.755
0.746 0.000 0.245
0.748 0.500 0.746
```

Results
Raw formation energy (eV/atom): -1.474
Total magnetization (μB/cell): 0.01



No. 2
Compound: FeNi4Ge
Source: Alexandria
Functional: PBE
Structure: relaxed

Cell and atoms, written as POSCAR:
```
FeNi4Ge
1.0
4.198 -1.325 0.000
4.198 1.325 0.000
-2.686 0.000 6.212
Fe Ni Ge
1 4 1
direct
0.000 0.000 0.000
0.331 0.331 0.166
0.340 0.340 0.668
0.660 0.660 0.332
0.669 0.669 0.834
0.000 0.000 0.500
```

Results
Total magnetization (μB/cell): 3.65
DFT formation energy (meV per atom): -114.4
E above lowest polymorph (meV per atom): 0



No. 3
Compound: MnZn2Co
Source: Alexandria
Functional: PBE
Structure: relaxed

Cell and atoms, written as POSCAR:
```
MnZn2Co
1.0
3.067 0.000 0.000
0.000 3.067 0.000
0.000 0.000 5.494
Mn Zn Co
1 2 1
direct
0.000 0.000 0.000
0.500 0.500 0.263
0.500 0.500 0.737
0.000 0.000 0.500
```

Results
Total magnetization (μB/cell): 4.21
DFT formation energy (meV per atom): 33.5
E above lowest polymorph (meV per atom): 77



No. 4
Compound: ErCd3Hg3
Source: Alexandria
Functional: PBE
Structure: relaxed

Cell and atoms, written as POSCAR:
```
ErCd3Hg3
1.0
5.930 0.000 0.000
0.000 5.930 0.000
0.000 0.000 5.930
Er Cd Hg
1 3 3
direct
0.000 0.000 0.000
0.000 0.500 0.500
0.500 0.000 0.500
0.500 0.500 0.000
0.000 0.000 0.500
0.000 0.500 0.000
0.500 0.000 0.000
```

Results
Total magnetization (μB/cell): 0.00
DFT formation energy (meV per atom): 79.4
E above lowest polymorph (meV per atom): 212



No. 5
Compound: Y8TlIn2
Source: Alexandria
Functional: PBE
Structure: relaxed

Cell and atoms, written as POSCAR:
```
Y8TlIn2
1.0
4.459 -7.358 0.000
4.459 7.358 0.000
-2.217 0.000 5.157
Y Tl In
8 1 2
direct
0.095 0.331 0.620
0.217 0.783 0.000
0.331 0.095 0.620
0.396 0.396 0.201
0.604 0.604 0.799
0.669 0.905 0.380
0.783 0.217 0.000
0.905 0.669 0.380
0.000 0.000 0.000
0.304 0.696 0.500
0.696 0.304 0.500
```

Results
Total magnetization (μB/cell): 0.77
DFT formation energy (meV per atom): -146.6
E above lowest polymorph (meV per atom): 55



No. 6
Compound: Pm4Bi3Sb
Source: Alexandria
Functional: PBE
Structure: relaxed

Cell and atoms, written as POSCAR:
```
Pm4Bi3Sb
1.0
6.440 0.000 0.000
0.000 6.440 0.000
0.000 0.000 6.440
Pm Bi Sb
4 3 1
direct
0.000 0.000 0.000
0.000 0.500 0.500
0.500 0.000 0.500
0.500 0.500 0.000
0.000 0.000 0.500
0.000 0.500 0.000
0.500 0.000 0.000
0.500 0.500 0.500
```

Results
Raw formation energy (eV/atom): -1.006
Total magnetization (μB/cell): 0.00
E above lowest polymorph (meV per atom): 0



No. 7
Compound: Li12Ag5Pt2
Source: Alexandria
Functional: PBE
Structure: relaxed

Cell and atoms, written as POSCAR:
```
Li12Ag5Pt2
1.0
7.117 -2.805 0.000
7.117 2.805 0.000
-2.616 0.000 7.978
Li Ag Pt
12 5 2
direct
0.008 0.008 0.300
0.079 0.580 0.444
0.107 0.589 0.107
0.411 0.893 0.893
0.420 0.921 0.556
0.454 0.454 0.753
0.546 0.546 0.247
0.580 0.079 0.444
0.589 0.107 0.107
0.893 0.411 0.893
0.921 0.420 0.556
0.992 0.992 0.700
0.176 0.176 0.209
0.296 0.296 0.813
0.500 0.500 0.500
0.704 0.704 0.187
0.824 0.824 0.791
0.240 0.760 0.000
0.760 0.240 0.000
```

Results
Total magnetization (μB/cell): 0.00
DFT formation energy (meV per atom): -179.7



No. 8
Compound: BaNi4P4
Source: Alexandria
Functional: PBE
Structure: relaxed

Cell and atoms, written as POSCAR:
```
BaNi4P4
1.0
-4.157 4.157 2.045
4.157 -4.157 2.045
4.157 4.157 -2.045
Ba Ni P
1 4 4
direct
0.000 0.000 0.000
0.151 0.583 0.734
0.417 0.151 0.568
0.583 0.849 0.432
0.849 0.417 0.266
0.208 0.328 0.537
0.328 0.792 0.120
0.672 0.208 0.880
0.792 0.672 0.463
```

Results
Total magnetization (μB/cell): 0.00
DFT formation energy (meV per atom): -473.4



No. 9
Compound: TlGeSe4
Source: Alexandria
Functional: PBE
Structure: relaxed

Cell and atoms, written as POSCAR:
```
TlGeSe4
1.0
6.805 0.000 0.000
-0.017 6.957 0.000
-3.366 -2.831 7.139
Tl Ge Se
2 2 8
direct
0.239 0.250 0.000
0.761 0.750 0.000
0.000 0.500 0.500
0.500 0.000 0.500
0.075 0.858 0.432
0.231 0.780 0.856
0.357 0.357 0.432
0.376 0.720 0.144
0.624 0.280 0.856
0.643 0.643 0.568
0.769 0.220 0.144
0.925 0.142 0.568
```

Results
Raw formation energy (eV/atom): -0.109
Total magnetization (μB/cell): 0.00



No. 10
Compound: NaAlIn3
Source: Alexandria
Functional: PBE
Structure: relaxed

Cell and atoms, written as POSCAR:
```
NaAlIn3
1.0
5.461 0.000 0.000
0.000 5.461 0.000
0.000 0.000 5.461
Na Al In
1 1 3
direct
0.000 0.000 0.000
0.500 0.500 0.500
0.000 0.000 0.500
0.000 0.500 0.000
0.500 0.000 0.000
```

Results
Total magnetization (μB/cell): 0.00
DFT formation energy (meV per atom): 677.4
E above lowest polymorph (meV per atom): 476



No. 11
Compound: Ac8Si3Te4Br
Source: Alexandria
Functional: PBE
Structure: relaxed

Cell and atoms, written as POSCAR:
```
Ac8Si3Te4Br
1.0
4.634 2.675 7.748
-4.634 2.675 7.748
0.000 -5.350 7.748
Ac Si Te Br
8 3 4 1
direct
0.227 0.750 0.750
0.241 0.241 0.241
0.250 0.250 0.773
0.250 0.773 0.250
0.750 0.227 0.750
0.750 0.750 0.227
0.759 0.759 0.759
0.773 0.250 0.250
0.000 0.000 0.500
0.000 0.500 0.000
0.500 0.000 0.000
0.000 0.000 0.000
0.000 0.500 0.500
0.500 0.000 0.500
0.500 0.500 0.000
0.500 0.500 0.500
```

Results
Raw formation energy (eV/atom): -1.209
Total magnetization (μB/cell): 0.00



No. 12
Compound: Sr3YTa
Source: Alexandria
Functional: PBE
Structure: relaxed

Cell and atoms, written as POSCAR:
```
Sr3YTa
1.0
5.985 0.000 0.000
0.000 5.985 0.000
0.000 0.000 5.985
Sr Y Ta
3 1 1
direct
0.000 0.000 0.500
0.000 0.500 0.000
0.500 0.000 0.000
0.500 0.500 0.500
0.000 0.000 0.000
```

Results
Total magnetization (μB/cell): 0.00
DFT formation energy (meV per atom): 1102.5
E above lowest polymorph (meV per atom): 0